Material: K2AlCuF6
Method: DFT, GGA-PBE
State: relaxed

Properties
E above lowest polymorph: 0 kJ/mol of formula units
E_form (uncorrected): -2.776 eV per atom
space group: No. 139
M_tot: 0.1 μB per cell

Cell: 6.1462 6.1468 7.6111 Å, 90.00 90.00 90.00°
Last column: nearest neighbours and their distance in Å.
Fractional coordinates of all 20 atoms:
F1 0.7910 0.5413 0.0000  1 Al 1.82
F2 0.0000 0.7502 0.7541  1 Al 1.87, 1 Cu 1.93
F3 0.2910 0.4587 0.5000  1 Al 1.82
F4 0.0000 0.7502 0.2459  1 Al 1.87, 1 Cu 1.93
F5 0.7910 0.9592 0.0000  1 Al 1.82
F6 0.2090 0.5413 0.0000  1 Al 1.82
F7 0.2090 0.9592 0.0000  1 Al 1.82
F8 0.5000 0.2498 0.2541  1 Al 1.87, 1 Cu 1.93
F9 0.7090 0.4587 0.5000  1 Al 1.82
F10 0.2910 0.0408 0.5000  1 Al 1.82
F11 0.7090 0.0408 0.5000  1 Al 1.82
F12 0.5000 0.2498 0.7459  1 Al 1.87, 1 Cu 1.93
Cu1 0.0000 0.7502 0.5000  2 F 1.93
Cu2 0.5000 0.2498 0.0000  2 F 1.93
K1 0.5000 0.7498 0.7500  12 F 2.91-3.07
K2 0.0000 0.2502 0.7500  12 F 2.91-3.07
K3 0.0000 0.2502 0.2500  12 F 2.91-3.07
K4 0.5000 0.7498 0.2500  12 F 2.91-3.07
Al1 0.5000 0.2498 0.5000  6 F 1.82-1.87
Al2 0.0000 0.7502 0.0000  6 F 1.82-1.87



Material: MgAlCuF6
Method: DFT, GGA-PBE
State: relaxed

Properties
E_form (uncorrected): -2.900 eV per atom
space group: No. 163
M_tot: 0.2 μB per cell

Cell: 5.1374 5.1374 9.4285 Å, 90.00 90.00 120.00°
Last column: nearest neighbours and their distance in Å.
Fractional coordinates of all 18 atoms:
F1 0.3797 0.3537 0.3576  1 Al 1.84, 1 Mg 2.01
F2 0.0260 0.6463 0.8576  1 Al 1.84, 1 Mg 2.01
F3 0.6203 0.9740 0.8576  1 Al 1.84, 1 Mg 2.01
F4 0.3797 0.0260 0.1424  1 Al 1.84, 1 Mg 2.01
F5 0.3537 0.9740 0.6424  1 Al 1.84, 1 Mg 2.01
F6 0.9740 0.6203 0.3576  1 Al 1.84, 1 Mg 2.01
F7 0.6463 0.0260 0.3576  1 Al 1.84, 1 Mg 2.01
F8 0.3537 0.3797 0.8576  1 Al 1.84, 1 Mg 2.01
F9 0.6203 0.6463 0.6424  1 Al 1.84, 1 Mg 2.01
F10 0.0260 0.3797 0.6424  1 Al 1.84, 1 Mg 2.01
F11 0.6463 0.6203 0.1424  1 Al 1.84, 1 Mg 2.01
F12 0.9740 0.3537 0.1424  1 Al 1.84, 1 Mg 2.01
Cu1 0.0000 0.0000 0.0000  6 F 2.32
Cu2 0.0000 0.0000 0.5000  6 F 2.32
Mg1 0.3333 0.6667 0.2500  6 F 2.01
Mg2 0.6667 0.3333 0.7500  6 F 2.01
Al1 0.3333 0.6667 0.7500  6 F 1.84
Al2 0.6667 0.3333 0.2500  6 F 1.84



Material: AlCuNF2
Method: DFT, GGA-PBE
State: relaxed

Properties
E above lowest polymorph: 0 kJ/mol of formula units
E_form (uncorrected): -1.248 eV per atom
space group: No. 123
M_tot: 0.0 μB per cell

Cell: 3.5498 3.5498 4.1138 Å, 90.00 90.00 90.00°
Last column: nearest neighbours and their distance in Å.
Fractional coordinates of all 5 atoms:
F1 0.0000 0.5000 0.0000  2 Al 1.77
F2 0.5000 0.0000 0.0000  2 Al 1.77
Cu1 0.5000 0.5000 0.5000  4 N 2.51, 8 F 2.72
Al1 0.0000 0.0000 0.0000  4 F 1.77
N1 0.0000 0.0000 0.5000  2 Al 2.06



Material: AlCuNF2
Method: DFT, GGA-PBE
State: relaxed

Properties
E above lowest polymorph: 450 kJ/mol of formula units
E_form (uncorrected): -0.315 eV per atom
space group: No. 123
M_tot: 0.4 μB per cell

Cell: 3.7477 3.7477 4.2012 Å, 90.00 90.00 90.00°
Last column: nearest neighbours and their distance in Å.
Fractional coordinates of all 5 atoms:
N1 0.0000 0.0000 0.5000  2 Cu 2.10
F1 0.5000 0.0000 0.0000  2 Cu 1.87
F2 0.0000 0.5000 0.0000  2 Cu 1.87
Al1 0.5000 0.5000 0.5000  4 N 2.65, 8 F 2.81
Cu1 0.0000 0.0000 0.0000  4 F 1.87



Material: AlCuN2F
Method: DFT, GGA-PBE
State: relaxed

Properties
E above lowest polymorph: 0 kJ/mol of formula units
E_form (uncorrected): 0.021 eV per atom
space group: No. 123
M_tot: 1.1 μB per cell

Cell: 3.8078 3.8078 3.6263 Å, 90.00 90.00 90.00°
Last column: nearest neighbours and their distance in Å.
Fractional coordinates of all 5 atoms:
N1 0.0000 0.5000 0.0000  2 Al 1.90
N2 0.5000 0.0000 0.0000  2 Al 1.90
Al1 0.0000 0.0000 0.0000  2 F 1.81, 4 N 1.90
Cu1 0.5000 0.5000 0.5000  8 N 2.63, 4 F 2.69
F1 0.0000 0.0000 0.5000  2 Al 1.81



Material: AlCuN2F
Method: DFT, GGA-PBE
State: relaxed

Properties
E above lowest polymorph: 320 kJ/mol of formula units
E_form (uncorrected): 0.684 eV per atom
space group: No. 123
M_tot: 0.2 μB per cell

Cell: 3.7950 3.7950 3.7320 Å, 90.00 90.00 90.00°
Last column: nearest neighbours and their distance in Å.
Fractional coordinates of all 5 atoms:
Cu1 0.0000 0.0000 0.0000  2 F 1.87, 4 N 1.90
N1 0.5000 0.0000 0.0000  2 Cu 1.90
N2 0.0000 0.5000 0.0000  2 Cu 1.90
F1 0.0000 0.0000 0.5000  2 Cu 1.87
Al1 0.5000 0.5000 0.5000  8 N 2.66, 4 F 2.68